# 1
! DyAl3Fe | Alexandria via LeMat-Bulk | PBE | optimized geometry; values from VASP
! Symmetry   Cmcm
! ΔE to the lowest computed polymorph   0.000 kcal/mol of atoms
! Calculated formation energy   -0.328 eV/atom
! Magnetic moment   2.52 μB/cell
! Energy   -5.187 eV per atom
&SYSTEM
  ibrav = 0, nat = 10, ntyp = 3
/
ATOMIC_SPECIES
Al 26.98 Al.upf
Dy 162.50 Dy.upf
Fe 55.84 Fe.upf
ATOMIC_POSITIONS angstrom
Al -3.4506 2.6884 0.7715
Al -2.1171 0.0178 1.2119
Al -3.9145 -2.4007 1.6002
Al -4.7383 2.1083 3.0834
Al -2.9408 4.5268 2.6950
Al -3.4048 -0.5623 3.5238
Dy -5.0305 0.1387 0.3651
Dy -1.8248 1.9874 3.9302
Fe -2.0598 1.4032 -0.7952
Fe 0.0000 0.0000 0.0000
CELL_PARAMETERS angstrom
-4.1197 2.8064 -1.5904
-3.4460 -4.6366 0.7446
0.7103 3.9563 5.1411

***

# 2
! DyHoCdGa | Alexandria via LeMat-Bulk | PBE | optimized geometry; values from VASP
! Symmetry   P4mm
! ΔE to the lowest computed polymorph   0.000 kcal/mol of atoms
! Calculated formation energy   -0.459 eV/atom
! Magnetic moment   0.00 μB/cell
! Energy   -3.739 eV per atom
&SYSTEM
  ibrav = 0, nat = 4, ntyp = 4
/
ATOMIC_SPECIES
Ho 164.93 Ho.upf
Cd 112.41 Cd.upf
Ga 69.72 Ga.upf
Dy 162.50 Dy.upf
ATOMIC_POSITIONS angstrom
Ho 0.0000 0.0000 2.7627
Cd 1.8089 1.8089 0.8093
Ga 1.8089 1.8089 4.4903
Dy 0.0000 0.0000 6.2432
CELL_PARAMETERS angstrom
3.6178 0.0000 0.0000
0.0000 3.6178 0.0000
0.0000 0.0000 7.4201

***

# 3
! CuGe4 | Alexandria via LeMat-Bulk | PBE | optimized geometry; values from VASP
! Symmetry   Pm-3m
! Calculated formation energy   0.546 eV/atom
! Magnetic moment   0.00 μB/cell
! Energy   -3.967 eV per atom
&SYSTEM
  ibrav = 0, nat = 5, ntyp = 2
/
ATOMIC_SPECIES
Ge 72.64 Ge.upf
Cu 63.55 Cu.upf
ATOMIC_POSITIONS angstrom
Ge 0.6048 -3.1741 -0.8027
Ge 0.0000 0.0000 0.0000
Ge -2.3388 -1.8030 -1.5376
Ge -1.5502 -2.4539 1.6309
Cu -1.6421 -3.7155 -0.3547
CELL_PARAMETERS angstrom
-0.1838 -2.5231 -3.9711
1.3934 -3.8250 2.3658
-4.4938 -1.0828 0.8960

***

# 4
! VTcOsW | Alexandria via LeMat-Bulk | PBE | optimized geometry; values from VASP
! Symmetry   F-43m
! Calculated formation energy   -0.074 eV/atom
! Magnetic moment   0.00 μB/cell
! Energy   -10.991 eV per atom
&SYSTEM
  ibrav = 0, nat = 4, ntyp = 4
/
ATOMIC_SPECIES
Os 190.23 Os.upf
W 183.84 W.upf
Tc 98.00 Tc.upf
V 50.94 V.upf
ATOMIC_POSITIONS angstrom
Os -0.5071 -1.4102 -2.2116
W 0.0000 0.0000 0.0000
Tc -1.5212 -4.2306 -6.6348
V -1.0141 -2.8204 -4.4232
CELL_PARAMETERS angstrom
-2.8515 -0.6442 -3.2382
1.4301 -0.9863 -4.0018
-0.6068 -4.0104 -1.6064

***

In the order shown, the computed N(E_F) values come out to 0.499, 0.597, 0.656, 1.240 states/eV/atom.